The following is a DFT calculation (PBE) of a geometry-optimized ReNi2Ir2 structure.

Lattice parameters (Å, degrees): 6.9158 6.9158 2.7770 90.00 90.00 90.00
Closest atoms and distances in Å follow each position.
Space group P4/mbm (No. 127)
Symmetry-distinct sites (fractional):
Re  0.0000  0.0000  0.0000 (multiplicity 2)  4 Ni 2.74, 2 Re 2.78, 8 Ir 2.91
Ni  0.1245  0.3755  0.0000 (multiplicity 4)  6 Ir 2.41-2.51, 1 Ni 2.44
Ir  0.1736  0.6736  0.5000 (multiplicity 4)  6 Ni 2.41-2.51

Properties
Mass density ... 17.2 g/cm3
Crystal system ... tetragonal
Formation energy ... 0.206 eV per atom